VASP calculation (PBE) on an optimized crystal structure of La2Cd2Pb.

## Properties
As for the formation energy: -0.3272 eV per atom. The symmetry is P4/mbm, No. 127. The volume is 30.537 Å³ per atom. The magnetization is 0.99 Bohr magnetons per cell. Its distance to the lowest polymorph of the same formula is 0 meV/atom.

The structure in POSCAR format:
```
La2Cd2Pb
1.0
-0.045 6.888 -5.270
-8.630 -0.558 -0.655
-0.402 2.453 3.210
La Cd Pb
4 4 2
direct
0.824 0.324 0.500
0.176 0.676 0.500
0.324 0.176 0.500
0.676 0.824 0.500
0.120 0.380 0.000
0.880 0.620 0.000
0.620 0.120 0.000
0.380 0.880 0.000
0.500 0.500 0.000
0.000 0.000 0.000
```


VASP calculation (PBE) on an optimized crystal structure of La2Cd5Pb.

## Properties
As for the formation energy: -0.3479 eV per atom. The symmetry is Cmcm, No. 63. The volume is 27.328 Å³ per atom. The magnetization is 0.00 Bohr magnetons per cell.

The structure in POSCAR format:
```
La2Cd5Pb
1.0
4.836 0.000 0.000
-2.418 9.029 0.000
0.000 0.000 10.015
Cd La Pb
10 4 2
direct
0.348 0.696 0.526
0.811 0.622 0.394
0.652 0.304 0.026
0.609 0.219 0.750
0.189 0.378 0.894
0.189 0.378 0.606
0.811 0.622 0.106
0.348 0.696 0.974
0.652 0.304 0.474
0.391 0.781 0.250
0.199 0.399 0.250
0.000 0.000 0.000
0.801 0.601 0.750
0.000 0.000 0.500
0.451 0.902 0.750
0.549 0.098 0.250
```


VASP calculation (PBE) on an optimized crystal structure of LaCdPb.

## Properties
As for the formation energy: -0.1270 eV per atom. The symmetry is P3m1, No. 156. The volume is 29.911 Å³ per atom. The magnetization is 0.00 Bohr magnetons per cell.

The structure in POSCAR format:
```
LaCdPb
1.0
3.515 0.000 0.000
-1.758 3.044 0.000
0.000 0.000 8.385
Pb La Cd
1 1 1
direct
0.333 0.667 0.679
0.667 0.333 0.328
0.000 0.000 0.994
```


> Which value of magnetization does entry 3 give?

0.00 Bohr magnetons per cell


Please write out number 1 again, unchanged.
VASP calculation (PBE) on an optimized crystal structure of La2Cd2Pb.

## Properties
As for the formation energy: -0.3272 eV per atom. The symmetry is P4/mbm, No. 127. The volume is 30.537 Å³ per atom. The magnetization is 0.99 Bohr magnetons per cell. Its distance to the lowest polymorph of the same formula is 0 meV/atom.

The structure in POSCAR format:
```
La2Cd2Pb
1.0
-0.045 6.888 -5.270
-8.630 -0.558 -0.655
-0.402 2.453 3.210
La Cd Pb
4 4 2
direct
0.824 0.324 0.500
0.176 0.676 0.500
0.324 0.176 0.500
0.676 0.824 0.500
0.120 0.380 0.000
0.880 0.620 0.000
0.620 0.120 0.000
0.380 0.880 0.000
0.500 0.500 0.000
0.000 0.000 0.000
```